Record 1
Material: Sc5Ni2Pd
Method: DFT, GGA-PBE
State: relaxed

Cell and atoms, written as POSCAR:
```
Sc5Ni2Pd
1.0
-3.520 3.520 6.131
3.520 -3.520 6.131
3.520 3.520 -6.131
Sc Ni Pd
10 4 2
direct
0.000 0.000 0.000 Sc
0.021 0.521 0.825 Sc
0.196 0.021 0.500 Sc
0.304 0.804 0.825 Sc
0.479 0.304 0.500 Sc
0.500 0.500 0.000 Sc
0.521 0.696 0.500 Sc
0.696 0.196 0.175 Sc
0.804 0.979 0.500 Sc
0.979 0.479 0.175 Sc
0.129 0.371 0.500 Ni
0.371 0.871 0.242 Ni
0.629 0.129 0.758 Ni
0.871 0.629 0.500 Ni
0.250 0.250 0.000 Pd
0.750 0.750 0.000 Pd
```

Summary:
Energy of formation from the pure elements   -0.494 eV per atom
SG   No. 140



Record 2
Material: Sc2Ni4Pd
Method: DFT, GGA-PBE
State: relaxed

Cell and atoms, written as POSCAR:
```
Sc2Ni4Pd
1.0
3.491 0.000 0.000
0.000 3.491 0.000
0.000 0.000 16.870
Sc Ni Pd
4 8 2
direct
0.000 0.000 0.104 Sc
0.000 0.000 0.896 Sc
0.500 0.500 0.396 Sc
0.500 0.500 0.604 Sc
0.000 0.000 0.348 Ni
0.000 0.000 0.652 Ni
0.000 0.500 0.250 Ni
0.000 0.500 0.750 Ni
0.500 0.000 0.250 Ni
0.500 0.000 0.750 Ni
0.500 0.500 0.152 Ni
0.500 0.500 0.848 Ni
0.000 0.000 0.500 Pd
0.500 0.500 0.000 Pd
```

Summary:
Energy of formation from the pure elements   -0.432 eV per atom
SG   No. 139



Record 3
Material: Sc5NiPd4
Method: DFT, GGA-PBE
State: relaxed

Cell and atoms, written as POSCAR:
```
Sc5NiPd4
1.0
3.246 0.000 0.000
0.000 3.246 0.000
0.000 0.000 16.864
Sc Ni Pd
5 1 4
direct
0.000 0.000 0.000 Sc
0.000 0.000 0.204 Sc
0.000 0.000 0.408 Sc
0.000 0.000 0.592 Sc
0.000 0.000 0.796 Sc
0.500 0.500 0.500 Ni
0.500 0.500 0.102 Pd
0.500 0.500 0.304 Pd
0.500 0.500 0.696 Pd
0.500 0.500 0.898 Pd
```

Summary:
Energy of formation from the pure elements   -0.817 eV per atom
SG   No. 123